Entry 1:
PBE TiNb5C6, optimized geometry; DOS(E_F) = 0.439 states/eV/atom; SG = No. 12; E_tot = -10.01 eV/atom
1.0
-2.596 4.437 -1.923
-3.583 -1.499 -3.875
-5.157 -1.281 1.379
C Ti Nb
6 1 5
Cartesian
-4.658 2.216 -4.371
-6.888 1.863 -2.114
-7.393 -1.138 -3.106
-1.521 0.722 -1.427
-3.943 2.794 -1.314
-4.447 -0.206 -2.306
0.000 0.000 0.000
-2.916 -0.927 -0.830
-3.089 1.469 -2.899
-5.996 0.543 -3.738
-5.824 -1.853 -1.667
-5.340 1.114 -0.682

Entry 2:
PBE Ti2NbTlC, optimized geometry; DOS(E_F) = 0.607 states/eV/atom; SG = No. 123; E_tot = -7.79 eV/atom
1.0
4.261 0.000 0.000
0.000 4.261 0.000
0.000 0.000 4.379
Nb Tl Ti C
1 1 2 1
Cartesian
0.000 0.000 2.189
2.131 2.131 2.189
2.131 0.000 0.000
0.000 2.131 0.000
0.000 0.000 0.000